Material: NbClF8
Method: DFT, PBE
State: optimized geometry

Cell: 6.065 10.195 10.844 Å, 90.00 90.00 90.00°
Fractional coordinates of all 40 atoms:
Nb (0.382, 0.000, 0.250)
F (0.347, 0.084, 0.094)
F (0.115, 0.845, 0.952)
F (0.861, 0.124, 0.807)
F (0.861, 0.624, 0.193)
F (0.402, 0.881, 0.693)
F (0.885, 0.845, 0.452)
Cl (0.000, 0.250, 0.945)
F (0.653, 0.916, 0.906)
F (0.885, 0.345, 0.548)
F (0.598, 0.619, 0.693)
Cl (0.000, 0.750, 0.555)
F (0.861, 0.876, 0.693)
F (0.347, 0.416, 0.594)
F (0.885, 0.655, 0.952)
F (0.115, 0.155, 0.548)
F (0.861, 0.376, 0.307)
Cl (0.000, 0.750, 0.055)
F (0.347, 0.916, 0.406)
F (0.139, 0.376, 0.807)
F (0.885, 0.155, 0.048)
F (0.598, 0.881, 0.193)
Nb (0.618, 0.000, 0.750)
F (0.347, 0.584, 0.906)
F (0.139, 0.624, 0.693)
F (0.653, 0.084, 0.594)
F (0.598, 0.381, 0.807)
Nb (0.382, 0.500, 0.750)
F (0.402, 0.119, 0.807)
F (0.115, 0.655, 0.452)
F (0.402, 0.619, 0.193)
F (0.139, 0.124, 0.307)
Nb (0.618, 0.500, 0.250)
F (0.653, 0.584, 0.406)
F (0.139, 0.876, 0.193)
F (0.598, 0.119, 0.307)
Cl (0.000, 0.250, 0.445)
F (0.115, 0.345, 0.048)
F (0.653, 0.416, 0.094)
F (0.402, 0.381, 0.307)

## Properties
As for the volume: 671 Å³ per cell. Its symmetry is Pcca. For the raw formation energy, the calculation gives -2068 meV/atom. For the mass density, the calculation gives 2.78 g/cm3. The crystal system is orthorhombic.